VASP calculation (GGA-PBE) on Ni after structural relaxation. Values from VASP.

The structure in Quantum ESPRESSO input format:
```
&SYSTEM
  ibrav = 0, nat = 8, ntyp = 1
/
ATOMIC_SPECIES
Ni 58.69 Ni.upf
ATOMIC_POSITIONS angstrom
Ni 3.966 -0.492 0.116
Ni 0.400 -2.077 -1.294
Ni 1.640 -1.528 1.060
Ni 2.825 -2.435 -0.920
Ni 0.000 0.000 0.000
Ni 2.198 -0.046 -1.147
Ni 1.714 -1.901 -3.072
Ni 1.383 -3.694 0.655
CELL_PARAMETERS angstrom
-0.514 -4.331 -0.809
2.628 0.353 -3.556
3.536 -0.891 2.525
```

Calculated values
crystal system	cubic
calculated volume	87	Å³/cell
energy of formation	138	meV/atom
ΔE to the lowest computed polymorph	137.9	meV per atom
magnetic moment	0.57	μB/f.u.
electronic total energy	-0.1995	hartree per atom